A plane-wave DFT calculation with PBE was carried out for an optimized crystal structure of LaBe3Ir.

a = 4.5703 Å, b = 4.5703 Å, c = 4.5703 Å
α = 90.00°, β = 90.00°, γ = 90.00°
Fractional coordinates of all 5 atoms:
La1 0.0000 0.0000 0.0000
Be1 0.0000 0.0000 0.5000
Be2 0.0000 0.5000 0.0000
Be3 0.5000 0.0000 0.0000
Ir1 0.5000 0.5000 0.5000

Values from the calculation:
Excess energy over the best structure of this formula in the dataset ... 2.790 eV/atom


A plane-wave DFT calculation with PBE was carried out for an optimized crystal structure of K3Cd2S4.

a = 4.3419 Å, b = 7.4770 Å, c = 8.6952 Å
α = 112.52°, β = 104.44°, γ = 90.02°
Fractional coordinates of all 9 atoms:
K1 0.0000 0.0000 0.0000
K2 0.1288 0.5362 0.2575
K3 0.8712 0.4638 0.7425
Cd1 0.3323 0.0353 0.6654
Cd2 0.6677 0.9647 0.3346
S1 0.2123 0.1812 0.4239
S2 0.4843 0.2961 0.9681
S3 0.5157 0.7039 0.0319
S4 0.7877 0.8188 0.5761

Values from the calculation:
Raw formation energy ... -822 meV/atom


A plane-wave DFT calculation with PBE was carried out for an optimized crystal structure of Ca2Be.

a = 4.8015 Å, b = 4.8015 Å, c = 4.5296 Å
α = 90.00°, β = 90.00°, γ = 120.00°
Fractional coordinates of all 3 atoms:
Ca1 0.3333 0.6667 0.2457
Ca2 0.6667 0.3333 0.7543
Be1 0.0000 0.0000 0.5000

Values from the calculation:
Excess energy over the best structure of this formula in the dataset ... 0.255 eV/atom


A plane-wave DFT calculation with PBE was carried out for an optimized crystal structure of Ba3Np2N6.

a = 11.5818 Å, b = 11.5818 Å, c = 11.5818 Å
α = 158.47°, β = 158.47°, γ = 30.63°
Fractional coordinates of all 11 atoms:
Ba1 0.0000 0.0000 0.0000
Ba2 0.1859 0.1859 0.0000
Ba3 0.8141 0.8141 0.0000
Np1 0.4037 0.4037 0.0000
Np2 0.5963 0.5963 0.0000
N1 0.0916 0.5916 0.5000
N2 0.3150 0.3150 0.0000
N3 0.4084 0.9084 0.5000
N4 0.5916 0.0916 0.5000
N5 0.6850 0.6850 0.0000
N6 0.9084 0.4084 0.5000

Values from the calculation:
Raw formation energy ... -863 meV/atom


A plane-wave DFT calculation with PBE was carried out for an optimized crystal structure of Sr2CaN.

a = 3.9216 Å, b = 5.0159 Å, c = 13.2018 Å
α = 90.00°, β = 90.00°, γ = 90.00°
Fractional coordinates of all 8 atoms:
Sr1 0.0000 0.0000 0.1343
Sr2 0.0000 0.0000 0.8657
Sr3 0.5000 0.5000 0.3657
Sr4 0.5000 0.5000 0.6343
Ca1 0.0000 0.0000 0.5000
Ca2 0.5000 0.5000 0.0000
N1 0.0000 0.5000 0.5000
N2 0.5000 0.0000 0.0000

Values from the calculation:
Raw formation energy ... -407 meV/atom


A plane-wave DFT calculation with PBE was carried out for an optimized crystal structure of Cu3Se5.

a = 3.2942 Å, b = 3.2942 Å, c = 14.8076 Å
α = 90.00°, β = 90.00°, γ = 90.00°
Fractional coordinates of all 8 atoms:
Cu1 0.0000 0.0000 0.0000
Cu2 0.5000 0.5000 0.2660
Cu3 0.5000 0.5000 0.7340
Se1 0.0000 0.0000 0.3260
Se2 0.0000 0.0000 0.5000
Se3 0.0000 0.0000 0.6740
Se4 0.5000 0.5000 0.1045
Se5 0.5000 0.5000 0.8955

Values from the calculation:
Raw formation energy ... 155 meV/atom
Excess energy over the best structure of this formula in the dataset ... 0.113 eV/atom


A plane-wave DFT calculation with PBE was carried out for an optimized crystal structure of BaAl4In.

a = 5.8712 Å, b = 5.8712 Å, c = 5.8712 Å
α = 60.00°, β = 60.00°, γ = 60.00°
Fractional coordinates of all 6 atoms:
Ba1 0.0000 0.0000 0.0000
Al1 0.3755 0.3755 0.3755
Al2 0.3755 0.3755 0.8734
Al3 0.3755 0.8734 0.3755
Al4 0.8734 0.3755 0.3755
In1 0.7500 0.7500 0.7500


A plane-wave DFT calculation with PBE was carried out for an optimized crystal structure of BaScAg2.

a = 3.7913 Å, b = 4.7782 Å, c = 6.5835 Å
α = 90.00°, β = 106.57°, γ = 90.00°
Fractional coordinates of all 4 atoms:
Ba1 0.0000 0.0000 0.0000
Sc1 0.7204 0.5000 0.4371
Ag1 0.2615 0.0000 0.5185
Ag2 0.3934 0.5000 0.7848

Values from the calculation:
Excess energy over the best structure of this formula in the dataset ... 0.131 eV/atom


A plane-wave DFT calculation with PBE was carried out for an optimized crystal structure of MgTlTe2.

a = 4.4907 Å, b = 6.2550 Å, c = 8.7881 Å
α = 90.00°, β = 90.00°, γ = 90.00°
Fractional coordinates of all 8 atoms:
Mg1 0.0000 0.0000 0.0000
Mg2 0.5000 0.5000 0.0000
Tl1 0.0000 0.0000 0.5000
Tl2 0.5000 0.5000 0.5000
Te1 0.0000 0.5000 0.2115
Te2 0.0000 0.5000 0.7885
Te3 0.5000 0.0000 0.2115
Te4 0.5000 0.0000 0.7885

Values from the calculation:
Raw formation energy ... -299 meV/atom


A plane-wave DFT calculation with PBE was carried out for an optimized crystal structure of TcSb3Pt.

a = 5.2178 Å, b = 5.2178 Å, c = 5.2178 Å
α = 90.00°, β = 90.00°, γ = 90.00°
Fractional coordinates of all 5 atoms:
Tc1 0.0000 0.0000 0.0000
Sb1 0.0000 0.5000 0.5000
Sb2 0.5000 0.0000 0.5000
Sb3 0.5000 0.5000 0.0000
Pt1 0.5000 0.5000 0.5000

Values from the calculation:
Raw formation energy ... 1020 meV/atom
Excess energy over the best structure of this formula in the dataset ... 0.363 eV/atom


A plane-wave DFT calculation with PBE was carried out for an optimized crystal structure of DyPuCuGe.

a = 7.0490 Å, b = 7.0490 Å, c = 7.0490 Å
α = 90.00°, β = 90.00°, γ = 90.00°
Fractional coordinates of all 16 atoms:
Dy1 0.0000 0.0000 0.0000
Dy2 0.0000 0.5000 0.5000
Dy3 0.5000 0.0000 0.5000
Dy4 0.5000 0.5000 0.0000
Pu1 0.0000 0.0000 0.5000
Pu2 0.0000 0.5000 0.0000
Pu3 0.5000 0.0000 0.0000
Pu4 0.5000 0.5000 0.5000
Cu1 0.2500 0.2500 0.2500
Cu2 0.2500 0.7500 0.7500
Cu3 0.7500 0.2500 0.7500
Cu4 0.7500 0.7500 0.2500
Ge1 0.2500 0.2500 0.7500
Ge2 0.2500 0.7500 0.2500
Ge3 0.7500 0.2500 0.2500
Ge4 0.7500 0.7500 0.7500


A plane-wave DFT calculation with PBE was carried out for an optimized crystal structure of NpB2AuO8.

a = 4.8214 Å, b = 4.8214 Å, c = 6.6593 Å
α = 94.05°, β = 94.05°, γ = 67.45°
Fractional coordinates of all 12 atoms:
Np1 0.0000 0.0000 0.0000
B1 0.3378 0.3378 0.7466
B2 0.6622 0.6622 0.2534
Au1 0.0000 0.0000 0.5000
O1 0.2206 0.6723 0.7741
O2 0.2304 0.2304 0.9200
O3 0.2469 0.2469 0.5525
O4 0.3277 0.7794 0.2259
O5 0.6723 0.2206 0.7741
O6 0.7531 0.7531 0.4475
O7 0.7696 0.7696 0.0800
O8 0.7794 0.3277 0.2259

Values from the calculation:
Raw formation energy ... -1683 meV/atom


| no. | DFT total energy (eV for the cell shown) | spin magnetization (μB per atom) | calculated volume (Å³/atom) |
| --- | --- | --- | --- |
| 1 | -12.7 | 0.053 | 19.1 |
| 2 | -29.0 | 0.105 | 27.9 |
| 3 | -6.3 | 0.000 | 30.2 |
| 4 | -91.1 | 0.182 | 19.0 |
| 5 | -30.6 | 0.000 | 32.5 |
| 6 | -28.5 | 0.000 | 20.1 |
| 7 | -19.5 | 0.000 | 23.9 |
| 8 | -14.1 | 0.000 | 28.6 |
| 9 | -22.9 | 0.000 | 30.9 |
| 10 | -23.7 | 0.548 | 28.4 |
| 11 | -115.9 | 1.545 | 21.9 |
| 12 | -89.4 | 0.074 | 11.9 |